## KCoN2Cl (PBE)

Data for a relaxed structure of KCoN2Cl.

DOS at the Fermi energy	4.8	states/eV per cell
formation energy (no corrections)	2.46	eV/atom
theoretical density	1616	kg/m³
E_tot	-2.884	eV per atom

abc: 4.9697 6.7204 4.9697
angles: 90.00 90.00 90.00
Site moments in Bohr magnetons follow the coordinates.
Atoms (fractional coordinates):
K: 0.0000 0.0000 0.0000  0.06
N: 0.0000 0.0000 0.5000  1.79
N: 0.5000 0.0000 0.0000  1.53
Co: 0.0000 0.5000 0.0000  2.10
Cl: 0.5000 0.5000 0.5000  0.02

***

## BaTaBr2 (PBE)

Data for a relaxed structure of BaTaBr2.

DOS at the Fermi energy	2.1	states/eV per cell
formation energy (no corrections)	-0.10	eV/atom
polymorph energy (0 for the lowest one)	123	meV/atom
theoretical density	7737	kg/m³
E_tot	-4.384	eV per atom

abc: 4.6751 4.6751 6.8944
angles: 79.34 79.34 44.02
Atoms (fractional coordinates):
Ba: 0.2500 0.2500 0.2500
Br: 0.0173 0.0173 0.9367
Br: 0.4827 0.4827 0.5633
Ta: 0.7500 0.7500 0.7500

***

## In2AgSe (PBE)

Data for a relaxed structure of In2AgSe.

DOS at the Fermi energy	1.2	states/eV per cell
formation energy (no corrections)	-0.12	eV/atom
theoretical density	6868	kg/m³
E_tot	-3.074	eV per atom

abc: 3.9021 3.9021 8.0691
angles: 73.75 73.75 59.99
Atoms (fractional coordinates):
Ag: 0.2480 0.2480 0.2627
In: 0.0033 0.0033 0.0265
In: 0.7480 0.7480 0.7152
Se: 0.5006 0.5006 0.4957